Arrangement i

TbHoTlZn: optimized geometry, PBE.

Cell lengths 3.6647, 3.6647, 7.4264 Å; angles 90.00, 90.00, 90.00 degrees
Last column: nearest neighbours and their distance in Å.
Fractional coordinates of all 4 atoms:
Tb: 0.0000 0.0000 0.8358  4 Zn 3.12, 4 Tl 3.30, 1 Ho 3.39
Ho: 0.0000 0.0000 0.3789  4 Zn 3.08, 4 Tl 3.27, 1 Tb 3.39
Tl: 0.5000 0.5000 0.1105  4 Ho 3.27, 4 Tb 3.30, 1 Zn 3.66
Zn: 0.5000 0.5000 0.6028  4 Ho 3.08, 4 Tb 3.12

Computed properties:
Calculated volume: 24.93 A^3/atom
Space-group type: P4mm, No. 99

=====

Arrangement ii

TbHoTlZn: optimized geometry, PBE.

Cell lengths 5.2247, 5.2247, 5.2247 Å; angles 60.00, 60.00, 60.00 degrees
Last column: nearest neighbours and their distance in Å.
Fractional coordinates of all 4 atoms:
Zn: 0.0000 0.0000 0.0000  4 Tb 3.20, 4 Ho 3.20
Tl: 0.5000 0.5000 0.5000  4 Ho 3.20, 4 Tb 3.20
Tb: 0.2500 0.2500 0.2500  4 Tl 3.20, 4 Zn 3.20
Ho: 0.7500 0.7500 0.7500  4 Tl 3.20, 4 Zn 3.20

Computed properties:
Calculated volume: 25.21 A^3/atom
Space-group type: F-43m, No. 216

=====

Stability, lowest: arrangement ii

=====

Arrangement i

Tb5Ho2Tm3: optimized geometry, PBE.

Cell lengths 9.4083, 9.4079, 11.0087 Å; angles 125.56, 125.56, 68.84 degrees
Last column: nearest neighbours and their distance in Å.
Fractional coordinates of all 20 atoms:
Tb: 0.2830 0.5330 0.0659  3 Tb 3.12-3.43, 4 Tm 3.29-3.38, 2 Ho 3.37
Tb: 0.7170 0.4670 0.9341  3 Tb 3.12-3.43, 4 Tm 3.29-3.38, 2 Ho 3.37
Tb: 0.0175 0.7675 0.5349  3 Tm 3.13-3.28
Tb: 0.5171 0.2671 0.5343  1 Tb 3.12, 2 Ho 3.27
Tb: 0.9825 0.2325 0.4651  3 Tm 3.13-3.28
Tb: 0.4829 0.7329 0.4657  1 Tb 3.12, 2 Ho 3.27
Tb: 0.8927 0.6421 0.7875  4 Tm 3.43-3.83, 3 Tb 3.43-3.66, 2 Ho 3.52-3.53
Tb: 0.1073 0.3579 0.2125  4 Tm 3.43-3.83, 3 Tb 3.43-3.66, 2 Ho 3.52-3.53
Tb: 0.3948 0.1455 0.7875  4 Tm 3.43-3.83, 3 Tb 3.43-3.66, 2 Ho 3.52-3.53
Tb: 0.6052 0.8545 0.2125  4 Tm 3.43-3.83, 3 Tb 3.43-3.66, 2 Ho 3.52-3.53
Ho: 0.7814 0.0292 0.7638  3 Tm 3.16-3.36, 4 Tb 3.27-3.53
Ho: 0.2186 0.9708 0.2362  3 Tm 3.16-3.36, 4 Tb 3.27-3.53
Ho: 0.4824 0.7346 0.7638  3 Tm 3.16-3.36, 4 Tb 3.27-3.53
Ho: 0.5176 0.2654 0.2362  3 Tm 3.16-3.36, 4 Tb 3.27-3.53
Tm: 0.2178 0.9678 0.9356  3 Tb 3.13-3.43, 4 Ho 3.29-3.36, 2 Tm 3.36
Tm: 0.7822 0.0322 0.0644  3 Tb 3.13-3.43, 4 Ho 3.29-3.36, 2 Tm 3.36
Tm: 0.7209 0.4684 0.2357  1 Ho 3.16, 5 Tb 3.28-3.52, 1 Tm 3.36
Tm: 0.2791 0.5316 0.7643  1 Ho 3.16, 5 Tb 3.28-3.52, 1 Tm 3.36
Tm: 0.0148 0.7673 0.2357  1 Ho 3.16, 5 Tb 3.28-3.52, 1 Tm 3.36
Tm: 0.9852 0.2327 0.7643  1 Ho 3.16, 5 Tb 3.28-3.52, 1 Tm 3.36

Computed properties:
Calculated volume: 32.23 A^3/atom
Space-group type: C2/c, No. 15

=====

Arrangement ii

Tb5Ho2Tm3: optimized geometry, PBE.

Cell lengths 6.6481, 11.4793, 11.4793 Å; angles 50.25, 73.17, 73.17 degrees
Last column: nearest neighbours and their distance in Å.
Fractional coordinates of all 20 atoms:
Tb: 0.2500 0.5000 0.5000  4 Ho 3.14, 2 Tb 3.32, 4 Tm 3.47
Tb: 0.7500 0.5000 0.5000  4 Ho 3.14, 2 Tb 3.32, 4 Tm 3.47
Tb: 0.4183 0.8317 0.8317  3 Tm 3.31-3.63, 6 Tb 3.32-3.68, 2 Ho 3.70
Tb: 0.0817 0.1683 0.1683  3 Tm 3.31-3.63, 6 Tb 3.32-3.68, 2 Ho 3.70
Tb: 0.5817 0.1683 0.1683  3 Tm 3.31-3.63, 6 Tb 3.32-3.68, 2 Ho 3.70
Tb: 0.9183 0.8317 0.8317  3 Tm 3.31-3.63, 6 Tb 3.32-3.68, 2 Ho 3.70
Tb: 0.2091 0.4648 0.1170  1 Ho 3.12, 2 Tb 3.39
Tb: 0.7909 0.5352 0.8830  1 Ho 3.12, 2 Tb 3.39
Tb: 0.7091 0.1170 0.4648  1 Ho 3.12, 2 Tb 3.39
Tb: 0.2909 0.8830 0.5352  1 Ho 3.12, 2 Tb 3.39
Ho: 0.0551 0.6941 0.1956  3 Tb 3.12-3.14, 2 Tm 3.15
Ho: 0.9449 0.3059 0.8044  3 Tb 3.12-3.14, 2 Tm 3.15
Ho: 0.5551 0.1956 0.6941  3 Tb 3.12-3.14, 2 Tm 3.15
Ho: 0.4449 0.8044 0.3059  3 Tb 3.12-3.14, 2 Tm 3.15
Tm: 0.2500 0.0000 0.0000  4 Ho 3.15, 2 Tb 3.31, 2 Tm 3.32
Tm: 0.7500 0.0000 0.0000  4 Ho 3.15, 2 Tb 3.31, 2 Tm 3.32
Tm: 0.3735 0.4465 0.8065  8 Tb 3.47-3.81, 3 Ho 3.64-3.67
Tm: 0.6265 0.5535 0.1935  8 Tb 3.47-3.81, 3 Ho 3.64-3.67
Tm: 0.8735 0.8065 0.4465  8 Tb 3.47-3.81, 3 Ho 3.64-3.67
Tm: 0.1265 0.1935 0.5535  8 Tb 3.47-3.81, 3 Ho 3.64-3.67

Computed properties:
Calculated volume: 31.91 A^3/atom
Space-group type: Ibam, No. 72

=====

Stability, lowest: arrangement ii

=====

Arrangement i

Tb2HoTm4: optimized geometry, PBE.

Cell lengths 3.5635, 3.5619, 19.7004 Å; angles 95.18, 90.00, 120.01 degrees
Last column: nearest neighbours and their distance in Å.
Fractional coordinates of all 7 atoms:
Tb: 0.6199 0.2398 0.0939  6 Tm 3.48-3.49, 6 Tb 3.56
Tb: 0.7143 0.4286 0.3817  6 Tm 3.49, 6 Tb 3.56
Ho: 0.8093 0.6185 0.6681  6 Tm 3.46-3.47, 6 Ho 3.56
Tm: 0.9051 0.8102 0.9506  9 Tm 3.43-3.56, 3 Tb 3.48
Tm: 0.4282 0.8565 0.5257  3 Ho 3.47, 3 Tb 3.49, 6 Tm 3.56
Tm: 0.0007 0.0014 0.2378  6 Tb 3.49, 6 Tm 3.56
Tm: 0.5239 0.0477 0.8101  9 Tm 3.43-3.56, 3 Ho 3.46

Computed properties:
Calculated volume: 30.76 A^3/atom
Space-group type: Cm, No. 8

=====

Arrangement ii

Tb2HoTm4: optimized geometry, PBE.

Cell lengths 8.6222, 10.0371, 9.3706 Å; angles 144.17, 96.94, 97.55 degrees
Last column: nearest neighbours and their distance in Å.
Fractional coordinates of all 14 atoms:
Tb: 0.7260 0.2455 0.7522  4 Tm 3.10-3.42, 1 Ho 3.34, 2 Tb 3.42-3.47
Tb: 0.5660 0.8247 0.0656  8 Tm 3.40-3.65, 1 Ho 3.60, 3 Tb 3.63-3.73
Tb: 0.6122 0.1408 0.0058  8 Tm 3.40-3.66, 2 Tb 3.47-3.63, 2 Ho 3.63-3.73
Tb: 0.1242 0.4922 0.8630  8 Tm 3.34-3.57, 2 Tb 3.42-3.73, 2 Ho 3.47-3.53
Ho: 0.1944 0.8175 0.8343  8 Tm 3.40-3.63, 1 Ho 3.47, 3 Tb 3.47-3.63
Ho: 0.0558 0.4722 0.2099  3 Tb 3.34-3.73, 8 Tm 3.43-3.58, 1 Ho 3.47
Tm: 0.9830 0.1476 0.2380  3 Ho 3.40-3.63, 6 Tm 3.41-3.57, 3 Tb 3.47-3.62
Tm: 0.4541 0.7161 0.3169  2 Tb 3.10-3.34, 3 Tm 3.29-3.41, 1 Ho 3.43
Tm: 0.7750 0.4960 0.6447  5 Tb 3.38-3.64, 6 Tm 3.41-3.75, 1 Ho 3.57
Tm: 0.8317 0.8153 0.6091  6 Tm 3.41-3.76, 3 Tb 3.42-3.66, 3 Ho 3.49-3.57
Tm: 0.3477 0.1503 0.4639  5 Tb 3.42-3.65, 6 Tm 3.42-3.75, 1 Ho 3.57
Tm: 0.2507 0.1100 0.7737  6 Tm 3.29-3.64, 2 Tb 3.40-3.57, 3 Ho 3.40-3.45
Tm: 0.4028 0.4692 0.4268  6 Tm 3.37-3.76, 3 Ho 3.42-3.53, 3 Tb 3.45-3.64
Tm: 0.9263 0.8525 0.2961  5 Tb 3.29-3.61, 5 Tm 3.29-3.63, 1 Ho 3.58

Computed properties:
Calculated volume: 30.93 A^3/atom
Space-group type: P1, No. 1

=====

Stability, lowest: arrangement ii

=====

Arrangement i

Tb3Ho2Tm3: optimized geometry, PBE.

Cell lengths 5.6421, 5.9671, 8.4408 Å; angles 110.04, 109.52, 90.00 degrees
Last column: nearest neighbours and their distance in Å.
Fractional coordinates of all 8 atoms:
Tb: 0.8680 0.3066 0.7359  1 Tb 3.25, 4 Ho 3.40-3.51, 5 Tm 3.46-3.64
Tb: 0.1320 0.6934 0.2641  1 Tb 3.25, 4 Ho 3.40-3.51, 5 Tm 3.46-3.64
Tb: 0.0000 0.0000 0.0000  2 Tb 3.25, 4 Tm 3.44
Ho: 0.7503 0.6827 0.5006  5 Tb 3.40-3.73, 5 Tm 3.41-3.73, 2 Ho 3.56
Ho: 0.2497 0.3173 0.4994  5 Tb 3.40-3.73, 5 Tm 3.41-3.73, 2 Ho 3.56
Tm: 0.3688 0.9230 0.7376  1 Tm 3.31, 4 Ho 3.41-3.52, 5 Tb 3.44-3.64
Tm: 0.5000 0.5000 0.0000  2 Tm 3.31, 4 Tb 3.46
Tm: 0.6312 0.0770 0.2624  1 Tm 3.31, 4 Ho 3.41-3.52, 5 Tb 3.44-3.64

Computed properties:
Calculated volume: 31.19 A^3/atom
Space-group type: C2/m, No. 12

=====

Arrangement ii

Tb3Ho2Tm3: optimized geometry, PBE.

Cell lengths 6.3759, 6.3759, 6.3759 Å; angles 84.41, 84.41, 95.59 degrees
Last column: nearest neighbours and their distance in Å.
Fractional coordinates of all 8 atoms:
Tb: 0.2888 0.7112 0.0000  4 Tm 3.32-3.57, 2 Tb 3.38, 2 Ho 3.39
Tb: 0.0000 0.2888 0.2888  4 Tm 3.32-3.57, 2 Tb 3.38, 2 Ho 3.39
Tb: 0.7112 0.0000 0.7112  4 Tm 3.32-3.57, 2 Tb 3.38, 2 Ho 3.39
Ho: 0.3069 0.3069 0.6931  3 Tb 3.39, 6 Tm 3.51-3.54
Ho: 0.6931 0.6931 0.3069  3 Tb 3.39, 6 Tm 3.51-3.54
Tm: 0.1889 0.8111 0.5000  2 Tm 3.32, 4 Tb 3.32-3.57, 4 Ho 3.51-3.54
Tm: 0.5000 0.1889 0.1889  2 Tm 3.32, 4 Tb 3.32-3.57, 4 Ho 3.51-3.54
Tm: 0.8111 0.5000 0.8111  2 Tm 3.32, 4 Tb 3.32-3.57, 4 Ho 3.51-3.54

Computed properties:
Calculated volume: 31.90 A^3/atom
Space-group type: R32, No. 155

=====

Stability, lowest: arrangement ii